Entry 1:
A geometry-optimized Zr3As structure. Source: Alexandria, functional PBE.

space group: No. 65
V: 21.63 A^3/atom
ΔH_f (0 K): -0.384 eV per atom
total magnetic moment: 0.000 μB per atom

Cell: 3.253 3.253 8.496 Å, 90.00 90.00 105.69°
Fractional positions:
Zr 0.500 0.500 0.220
Zr 0.000 0.000 0.500
Zr 0.500 0.500 0.780
As 0.000 0.000 0.000

Entry 2:
A geometry-optimized LiLaRu3 structure. Source: Alexandria, functional PBE.

space group: No. 221
V: 23.19 A^3/atom
ΔH_f (0 K): 1.627 eV per atom
total magnetic moment: 0.670 μB per atom
energy above the lowest structure with this stoichiometry: 4.88 eV per formula unit

Cell: 4.876 4.876 4.876 Å, 90.00 90.00 90.00°
Last column: magnetic moment on the atom in μB.
Fractional positions:
Li 0.500 0.500 0.500  -0.02
Ru 0.000 0.000 0.500  1.03
Ru 0.500 0.000 0.000  1.07
Ru 0.000 0.500 0.000  1.26
La 0.000 0.000 0.000  -0.06

Entry 3:
A geometry-optimized CuNi4H5 structure. Source: Alexandria, functional PBE.

space group: No. 12
V: 6.58 A^3/atom
total magnetic moment: 0.000 μB per atom

Cell: 2.639 4.611 5.904 Å, 75.65 77.08 73.37°
Fractional positions:
Ni 0.598 0.202 0.602
Ni 0.203 0.394 0.201
Ni 0.797 0.606 0.799
Ni 0.402 0.798 0.398
Cu 0.000 0.000 0.000
H 0.618 0.644 0.120
H 0.206 0.908 0.681
H 0.382 0.356 0.880
H 0.000 0.500 0.500
H 0.794 0.092 0.319

Entry 4:
A geometry-optimized HoNi22B6 structure. Source: Alexandria, functional PBE.

space group: No. 225
V: 10.19 A^3/atom
ΔH_f (0 K): -0.205 eV per atom
total magnetic moment: 0.032 μB per atom

Cell: 7.476 7.476 7.476 Å, 60.00 60.00 60.00°
Last column: magnetic moment on the atom in μB.
Fractional positions:
Ni 0.383 0.383 0.383  0.04
Ni 0.345 0.000 0.655  0.00
Ni 0.148 0.617 0.617  0.04
Ni 0.750 0.750 0.750  0.30
Ni 0.617 0.617 0.617  0.04
Ni 0.655 0.000 0.000  0.00
Ni 0.383 0.852 0.383  0.04
Ni 0.655 0.345 0.000  0.00
Ni 0.383 0.383 0.852  0.04
Ni 0.000 0.655 0.000  0.00
Ni 0.345 0.000 0.000  0.00
Ni 0.655 0.000 0.345  0.00
Ni 0.345 0.655 0.000  0.00
Ni 0.000 0.345 0.655  0.00
Ni 0.000 0.000 0.345  0.00
Ni 0.617 0.617 0.148  0.04
Ni 0.000 0.655 0.345  0.00
Ni 0.250 0.250 0.250  0.30
Ni 0.000 0.345 0.000  0.00
Ni 0.617 0.148 0.617  0.04
Ni 0.852 0.383 0.383  0.04
Ni 0.000 0.000 0.655  0.00
B 0.271 0.729 0.271  0.00
B 0.729 0.271 0.729  0.00
B 0.729 0.271 0.271  0.00
B 0.271 0.271 0.729  0.00
B 0.271 0.729 0.729  0.00
B 0.729 0.729 0.271  0.00
Ho 0.000 0.000 0.000  -0.01

Entry 5:
A geometry-optimized HfSc3Pt structure. Source: Alexandria, functional PBE.

space group: No. 221
V: 25.70 A^3/atom
ΔH_f (0 K): -0.012 eV per atom
total magnetic moment: 0.206 μB per atom
energy above the lowest structure with this stoichiometry: 0.00 eV per formula unit

Cell: 5.046 5.046 5.046 Å, 90.00 90.00 90.00°
Last column: magnetic moment on the atom in μB.
Fractional positions:
Sc 0.500 0.000 0.000  0.11
Sc 0.000 0.500 0.000  0.06
Sc 0.000 0.000 0.500  0.06
Pt 0.000 0.000 0.000  0.02
Hf 0.500 0.500 0.500  0.38

Entry 6:
A geometry-optimized Re2Hg2As structure. Source: Alexandria, functional PBE.

space group: No. 127
V: 18.82 A^3/atom
ΔH_f (0 K): 0.588 eV per atom
total magnetic moment: 0.000 μB per atom
energy above the lowest structure with this stoichiometry: 0.00 eV per formula unit

Cell: 6.340 6.340 4.684 Å, 90.00 90.00 90.00°
Fractional positions:
As 0.000 0.000 0.000
As 0.500 0.500 0.000
Hg 0.174 0.674 0.500
Hg 0.826 0.326 0.500
Hg 0.674 0.826 0.500
Hg 0.326 0.174 0.500
Re 0.362 0.862 0.000
Re 0.138 0.362 0.000
Re 0.638 0.138 0.000
Re 0.862 0.638 0.000

Entry 7:
A geometry-optimized Dy8OsAu2 structure. Source: Alexandria, functional PBE.

space group: No. 8
V: 27.53 A^3/atom
ΔH_f (0 K): -0.303 eV per atom
total magnetic moment: 0.000 μB per atom
energy above the lowest structure with this stoichiometry: 1.09 eV per formula unit

Cell: 6.132 8.708 8.708 Å, 127.60 104.57 104.57°
Fractional positions:
Au 0.465 0.290 0.721
Au 0.465 0.721 0.290
Dy 0.652 0.406 0.163
Dy 0.760 0.709 0.709
Dy 0.317 0.864 0.634
Dy 0.652 0.163 0.406
Dy 0.997 0.794 0.176
Dy 0.997 0.176 0.794
Dy 0.317 0.634 0.864
Dy 0.105 0.263 0.263
Os 0.275 0.015 0.015

Entry 8:
A geometry-optimized La2SnPd structure. Source: Alexandria, functional PBE.

space group: No. 122
V: 39.98 A^3/atom
ΔH_f (0 K): -0.136 eV per atom
total magnetic moment: 0.000 μB per atom

Cell: 6.351 6.351 9.112 Å, 69.60 69.60 90.00°
Fractional positions:
La 0.875 0.842 0.750
La 0.375 0.408 0.750
La 0.158 0.625 0.250
La 0.592 0.125 0.250
Sn 0.750 0.250 0.500
Sn 0.000 0.000 0.000
Pd 0.500 0.500 0.000
Pd 0.250 0.750 0.500

Entry 9:
A geometry-optimized Pr2Nd4Al structure. Source: Alexandria, functional PBE.

space group: No. 166
V: 33.93 A^3/atom
ΔH_f (0 K): -0.007 eV per atom
total magnetic moment: 0.000 μB per atom

Cell: 3.712 3.712 20.020 Å, 84.68 84.68 60.00°
Fractional positions:
Nd 0.910 0.910 0.271
Nd 0.295 0.295 0.115
Nd 0.705 0.705 0.885
Nd 0.090 0.090 0.729
Pr 0.807 0.807 0.578
Pr 0.193 0.193 0.422
Al 0.000 0.000 0.000

Entry 10:
A geometry-optimized Ba2YZrS6 structure. Source: Alexandria, functional PBE.

space group: No. 59
V: 27.55 A^3/atom
total magnetic moment: 0.000 μB per atom
raw formation energy: -1.73 eV/atom

Cell: 7.300 7.310 10.327 Å, 90.00 90.00 90.00°
Fractional positions:
S 0.000 0.754 0.256
S 0.256 0.496 0.000
S 0.255 0.007 0.000
S 0.756 0.504 0.500
S 0.755 0.993 0.500
S 0.745 0.007 0.000
S 0.500 0.246 0.244
S 0.245 0.993 0.500
S 0.244 0.504 0.500
S 0.744 0.496 0.000
S 0.000 0.754 0.744
S 0.500 0.246 0.756
Zr 0.000 0.748 0.500
Zr 0.500 0.252 0.000
Y 0.000 0.751 0.000
Y 0.500 0.249 0.500
Ba 0.000 0.245 0.249
Ba 0.500 0.755 0.251
Ba 0.500 0.755 0.749
Ba 0.000 0.245 0.751

Entry 11:
A geometry-optimized Na3Hg2 structure. Source: Alexandria, functional PBE.

space group: No. 136
V: 28.45 A^3/atom
ΔH_f (0 K): -0.218 eV per atom
total magnetic moment: 0.000 μB per atom
energy above the lowest structure with this stoichiometry: 0.00 eV per formula unit

Cell: 8.496 8.496 7.883 Å, 90.00 90.00 90.00°
Fractional positions:
Na 0.141 0.141 0.000
Na 0.500 0.000 0.750
Na 0.500 0.000 0.250
Na 0.296 0.704 0.000
Na 0.641 0.359 0.500
Na 0.859 0.859 0.000
Na 0.204 0.204 0.500
Na 0.000 0.500 0.250
Na 0.359 0.641 0.500
Na 0.796 0.796 0.500
Na 0.000 0.500 0.750
Na 0.704 0.296 0.000
Hg 0.127 0.873 0.306
Hg 0.873 0.127 0.694
Hg 0.373 0.373 0.194
Hg 0.627 0.627 0.806
Hg 0.873 0.127 0.306
Hg 0.627 0.627 0.194
Hg 0.127 0.873 0.694
Hg 0.373 0.373 0.806

Entry 12:
A geometry-optimized Ta2BeIr structure. Source: Alexandria, functional PBE.

space group: No. 166
V: 15.27 A^3/atom
ΔH_f (0 K): 0.032 eV per atom
total magnetic moment: 0.000 μB per atom

Cell: 8.152 8.152 8.152 Å, 21.02 21.02 21.02°
Fractional positions:
Ta 0.509 0.509 0.509
Ta 0.991 0.991 0.991
Ir 0.750 0.750 0.750
Be 0.250 0.250 0.250

Entry 13:
A geometry-optimized TbHoTh structure. Source: Alexandria, functional PBE.

space group: No. 107
V: 31.89 A^3/atom
ΔH_f (0 K): 0.024 eV per atom
total magnetic moment: 0.000 μB per atom
energy above the lowest structure with this stoichiometry: 0.02 eV per formula unit

Cell: 3.577 3.577 7.894 Å, 103.09 103.09 90.00°
Fractional positions:
Tb 0.995 0.995 0.990
Th 0.333 0.333 0.666
Ho 0.672 0.672 0.345

Entry 14:
A geometry-optimized FeSeCl2 structure. Source: Alexandria, functional PBE.

space group: No. 12
V: 25.36 A^3/atom
total magnetic moment: 0.944 μB per atom
raw formation energy: -0.09 eV/atom
energy above the lowest structure with this stoichiometry: 1.20 eV per formula unit

Cell: 7.120 7.120 4.396 Å, 83.84 83.84 27.25°
Last column: magnetic moment on the atom in μB.
Fractional positions:
Cl 0.112 0.112 0.942  0.08
Cl 0.388 0.388 0.558  0.08
Se 0.250 0.250 0.250  0.12
Fe 0.750 0.750 0.750  3.30

Entry 15:
A geometry-optimized ScHgPdPb structure. Source: Alexandria, functional PBE.

space group: No. 216
V: 20.71 A^3/atom
ΔH_f (0 K): -0.326 eV per atom
total magnetic moment: 0.000 μB per atom

Cell: 4.893 4.893 4.893 Å, 60.00 60.00 60.00°
Fractional positions:
Sc 0.000 0.000 0.000
Pd 0.500 0.500 0.500
Hg 0.250 0.250 0.250
Pb 0.750 0.750 0.750

Entry 16:
A geometry-optimized Sr2SnRh structure. Source: Alexandria, functional PBE.

space group: No. 122
V: 39.01 A^3/atom
ΔH_f (0 K): -0.352 eV per atom
total magnetic moment: 0.000 μB per atom

Cell: 11.044 11.044 8.218 Å, 47.78 47.78 90.00°
Fractional positions:
Rh 0.500 0.500 0.000
Rh 0.250 0.750 0.500
Sn 0.000 0.000 0.000
Sn 0.750 0.250 0.500
Sr 0.875 0.706 0.750
Sr 0.456 0.125 0.250
Sr 0.294 0.625 0.250
Sr 0.375 0.544 0.750

Entry 17:
A geometry-optimized HgTe2Pt structure. Source: Alexandria, functional PBE.

space group: No. 47
V: 25.32 A^3/atom
total magnetic moment: 0.000 μB per atom
raw formation energy: 0.30 eV/atom

Cell: 3.969 6.243 4.087 Å, 90.00 90.00 90.00°
Fractional positions:
Te 0.500 0.500 0.000
Te 0.000 0.000 0.000
Hg 0.500 0.000 0.500
Pt 0.000 0.500 0.500

Entry 18:
A geometry-optimized Be3Ag structure. Source: Alexandria, functional PBE.

space group: No. 194
V: 10.59 A^3/atom
ΔH_f (0 K): 0.143 eV per atom
total magnetic moment: 0.000 μB per atom
energy above the lowest structure with this stoichiometry: 0.01 eV per formula unit

Cell: 5.067 5.067 3.809 Å, 90.00 90.00 120.00°
Fractional positions:
Be 0.852 0.703 0.250
Be 0.703 0.852 0.750
Be 0.852 0.148 0.250
Be 0.148 0.297 0.750
Be 0.297 0.148 0.250
Be 0.148 0.852 0.750
Ag 0.333 0.667 0.250
Ag 0.667 0.333 0.750

Entry 19:
A geometry-optimized NiRuAu2 structure. Source: Alexandria, functional PBE.

space group: No. 122
V: 17.02 A^3/atom
ΔH_f (0 K): 0.661 eV per atom
total magnetic moment: 0.679 μB per atom
energy above the lowest structure with this stoichiometry: 1.87 eV per formula unit

Cell: 3.786 3.786 9.867 Å, 78.94 78.94 90.00°
Last column: magnetic moment on the atom in μB.
Fractional positions:
Au 0.622 0.125 0.250  0.07
Au 0.875 0.872 0.750  0.08
Au 0.375 0.378 0.750  0.08
Au 0.128 0.625 0.250  0.07
Ru 0.750 0.250 0.500  1.77
Ru 0.000 0.000 0.000  1.77
Ni 0.500 0.500 0.000  0.79
Ni 0.250 0.750 0.500  0.78

Entry 20:
A geometry-optimized Hf2Ga2Bi structure. Source: Alexandria, functional PBE.

space group: No. 123
V: 28.42 A^3/atom
ΔH_f (0 K): 0.734 eV per atom
total magnetic moment: 0.000 μB per atom
energy above the lowest structure with this stoichiometry: 4.30 eV per formula unit

Cell: 5.169 5.169 5.317 Å, 90.00 90.00 90.00°
Fractional positions:
Ga 0.500 0.000 0.000
Ga 0.000 0.500 0.000
Bi 0.500 0.500 0.500
Hf 0.000 0.000 0.000
Hf 0.000 0.000 0.500

Entry 21:
A geometry-optimized LiCe2WN5 structure. Source: Alexandria, functional PBE.

space group: No. 36
V: 12.34 A^3/atom
total magnetic moment: 0.000 μB per atom
raw formation energy: -0.88 eV/atom

Cell: 3.239 6.866 10.280 Å, 90.00 90.00 103.64°
Fractional positions:
N 0.495 0.991 0.767
N 0.639 0.278 0.500
N 0.935 0.871 0.559
N 0.695 0.390 0.894
N 0.505 0.009 0.267
N 0.361 0.722 0.000
N 0.721 0.442 0.160
N 0.279 0.558 0.660
N 0.305 0.610 0.394
N 0.065 0.129 0.059
W 0.802 0.604 0.511
W 0.198 0.396 0.011
Li 0.468 0.936 0.457
Li 0.532 0.064 0.957
Ce 0.867 0.734 0.806
Ce 0.898 0.796 0.170
Ce 0.133 0.266 0.306
Ce 0.102 0.204 0.670

Entry 22:
A geometry-optimized NpSn2Ge structure. Source: Alexandria, functional PBE.

space group: No. 123
V: 23.15 A^3/atom
ΔH_f (0 K): -0.134 eV per atom
total magnetic moment: 0.945 μB per atom
energy above the lowest structure with this stoichiometry: 0.00 eV per formula unit

Cell: 4.714 4.432 4.432 Å, 90.00 90.00 90.00°
Last column: magnetic moment on the atom in μB.
Fractional positions:
Ge 0.500 0.000 0.000  -0.04
Sn 0.000 0.500 0.000  -0.03
Sn 0.000 0.000 0.500  -0.03
Np 0.500 0.500 0.500  3.72

Entry 23:
A geometry-optimized TaSeN structure. Source: Alexandria, functional PBE.

space group: No. 129
V: 14.16 A^3/atom
total magnetic moment: 0.000 μB per atom
raw formation energy: -0.71 eV/atom
energy above the lowest structure with this stoichiometry: 0.36 eV per formula unit

Cell: 3.652 3.652 6.369 Å, 90.00 90.00 90.00°
Fractional positions:
N 0.000 0.000 0.000
N 0.500 0.500 0.000
Se 0.500 0.000 0.621
Se 0.000 0.500 0.379
Ta 0.500 0.000 0.172
Ta 0.000 0.500 0.828

| no. | raw total energy (eV/atom) |
| --- | --- |
| 1 | -7.96 |
| 2 | -5.31 |
| 3 | -4.43 |
| 4 | -6.13 |
| 5 | -7.01 |
| 6 | -5.44 |
| 7 | -5.27 |
| 8 | -4.90 |
| 9 | -4.63 |
| 10 | -6.10 |
| 11 | -1.13 |
| 12 | -9.04 |
| 13 | -5.52 |
| 14 | -4.00 |
| 15 | -4.21 |
| 16 | -4.03 |
| 17 | -2.86 |
| 18 | -3.36 |
| 19 | -4.74 |
| 20 | -5.23 |
| 21 | -8.47 |
| 22 | -6.52 |
| 23 | -8.59 |